An optimized crystal structure of Si2PbSeO. Source: Alexandria via LeMat-Bulk, functional PBE.

a b c (Å): 4.2477 5.6828 4.2477
angles (deg): 90.00 90.00 90.00
Last column: nearest neighbours and their distance in Å.
Sites, in units of the cell vectors:
1 Pb 0.0000 0.5000 0.0000  2 O 2.84, 4 Se 3.00
2 Si 0.0000 0.0000 0.5000  2 O 2.12
3 Si 0.5000 0.0000 0.0000  2 O 2.12
4 O 0.0000 0.0000 0.0000  4 Si 2.12
5 Se 0.5000 0.5000 0.5000  4 Pb 3.00

Values from the calculation:
DFT total energy in eV/atom: -4.4680
Formation energy without anion corrections in eV/f.u.: 0.7
Magnetic moment in μB/cell: 0.0
Crystal system: tetragonal